1.
A geometry-optimized PrPuMgPb structure, computed with PBE.

Lattice parameters (Å, degrees): 7.768 7.768 7.768 90.00 90.00 90.00
Space group F-43m (No. 216)
Asymmetric unit:
Pr 0.000 0.000 0.000 (multiplicity 4)
Pu 0.000 0.000 0.500 (multiplicity 4)
Mg 0.250 0.250 0.250 (multiplicity 4)
Pb 0.250 0.250 0.750 (multiplicity 4)

Energy relative to the elements: -128 meV/atom
DOS(E_F): 42.6 states/eV/cell

---

2.
A geometry-optimized PrMgRhPb structure, computed with PBE.

Lattice parameters (Å, degrees): 7.047 7.047 7.047 90.00 90.00 90.00
Space group F-43m (No. 216)
Asymmetric unit:
Pr 0.000 0.000 0.000 (multiplicity 4)
Mg 0.250 0.250 0.250 (multiplicity 4)
Rh 0.250 0.250 0.750 (multiplicity 4)
Pb 0.000 0.000 0.500 (multiplicity 4)

Energy relative to the elements: -341 meV/atom
DOS(E_F): 7.7 states/eV/cell

---

3.
A geometry-optimized PrMgScPb structure, computed with PBE.

Lattice parameters (Å, degrees): 7.533 7.533 7.533 90.00 90.00 90.00
Space group F-43m (No. 216)
Asymmetric unit:
Pr 0.000 0.000 0.000 (multiplicity 4)
Mg 0.250 0.250 0.750 (multiplicity 4)
Sc 0.000 0.000 0.500 (multiplicity 4)
Pb 0.250 0.250 0.250 (multiplicity 4)

Energy relative to the elements: -255 meV/atom
DOS(E_F): 15.7 states/eV/cell

---

4.
A geometry-optimized PrSmMgPb structure, computed with PBE.

Lattice parameters (Å, degrees): 7.770 7.770 7.770 90.00 90.00 90.00
Space group F-43m (No. 216)
Asymmetric unit:
Pr 0.000 0.000 0.000 (multiplicity 4)
Sm 0.000 0.000 0.500 (multiplicity 4)
Mg 0.250 0.250 0.250 (multiplicity 4)
Pb 0.250 0.250 0.750 (multiplicity 4)

Energy relative to the elements: -330 meV/atom
DOS(E_F): 13.0 states/eV/cell

---

5.
A geometry-optimized Pr2Mg5Sn3Pb2 structure, computed with PBE.

Lattice parameters (Å, degrees): 4.506 4.506 35.471 90.00 90.00 90.00
Space group I4/mmm (No. 139)
Asymmetric unit:
Pr 0.000 0.000 0.213 (multiplicity 4)
Mg 0.000 0.000 0.000 (multiplicity 2)
Mg 0.000 0.500 0.137 (multiplicity 8)
Sn 0.000 0.000 0.305 (multiplicity 4)
Sn 0.000 0.000 0.500 (multiplicity 2)
Pb 0.000 0.000 0.081 (multiplicity 4)

Energy relative to the elements: -172 meV/atom
DOS(E_F): 15.6 states/eV/cell

---

6.
A geometry-optimized PrMgSnPb structure, computed with PBE.

Lattice parameters (Å, degrees): 4.579 4.863 4.894 90.00 90.00 90.00
Space group Pmmm (No. 47)
Asymmetric unit:
Pr 0.000 0.000 0.000 (multiplicity 1)
Mg 0.000 0.500 0.500 (multiplicity 1)
Sn 0.500 0.500 0.000 (multiplicity 1)
Pb 0.500 0.000 0.500 (multiplicity 1)

Energy relative to the elements: -463 meV/atom
DOS(E_F): 1.7 states/eV/cell
ΔE to the lowest computed polymorph: 0.000 eV/atom

---

7.
A geometry-optimized PrMgSnPb structure, computed with PBE.

Lattice parameters (Å, degrees): 7.665 7.665 7.665 90.00 90.00 90.00
Space group F-43m (No. 216)
Asymmetric unit:
Pr 0.000 0.000 0.000 (multiplicity 4)
Mg 0.000 0.000 0.500 (multiplicity 4)
Sn 0.250 0.250 0.250 (multiplicity 4)
Pb 0.250 0.250 0.750 (multiplicity 4)

Energy relative to the elements: -289 meV/atom
DOS(E_F): 9.7 states/eV/cell
ΔE to the lowest computed polymorph: 0.174 eV/atom

---

8.
A geometry-optimized SrPrMgPb structure, computed with PBE.

Lattice parameters (Å, degrees): 8.012 8.012 8.012 90.00 90.00 90.00
Space group F-43m (No. 216)
Asymmetric unit:
Sr 0.000 0.000 0.000 (multiplicity 4)
Pr 0.000 0.000 0.500 (multiplicity 4)
Mg 0.250 0.250 0.250 (multiplicity 4)
Pb 0.250 0.250 0.750 (multiplicity 4)

Energy relative to the elements: -293 meV/atom
DOS(E_F): 14.5 states/eV/cell

---

9.
A geometry-optimized TbPrMgPb structure, computed with PBE.

Lattice parameters (Å, degrees): 7.721 7.721 7.721 90.00 90.00 90.00
Space group F-43m (No. 216)
Asymmetric unit:
Tb 0.000 0.000 0.000 (multiplicity 4)
Pr 0.000 0.000 0.500 (multiplicity 4)
Mg 0.250 0.250 0.750 (multiplicity 4)
Pb 0.250 0.250 0.250 (multiplicity 4)

Energy relative to the elements: -310 meV/atom
DOS(E_F): 14.5 states/eV/cell

---

10.
A geometry-optimized PrThMgPb structure, computed with PBE.

Lattice parameters (Å, degrees): 7.842 7.842 7.842 90.00 90.00 90.00
Space group F-43m (No. 216)
Asymmetric unit:
Pr 0.000 0.000 0.000 (multiplicity 4)
Th 0.000 0.000 0.500 (multiplicity 4)
Mg 0.250 0.250 0.750 (multiplicity 4)
Pb 0.250 0.250 0.250 (multiplicity 4)

Energy relative to the elements: -144 meV/atom
DOS(E_F): 14.2 states/eV/cell

---

11.
A geometry-optimized PrMgTlPb structure, computed with PBE.

Lattice parameters (Å, degrees): 7.693 7.693 7.693 90.00 90.00 90.00
Space group F-43m (No. 216)
Asymmetric unit:
Pr 0.000 0.000 0.000 (multiplicity 4)
Mg 0.000 0.000 0.500 (multiplicity 4)
Tl 0.250 0.250 0.250 (multiplicity 4)
Pb 0.250 0.250 0.750 (multiplicity 4)

Energy relative to the elements: -242 meV/atom
DOS(E_F): 13.4 states/eV/cell
ΔE to the lowest computed polymorph: 0.126 eV/atom

---

12.
A geometry-optimized PrMgTlPb structure, computed with PBE.

Lattice parameters (Å, degrees): 4.578 4.853 5.000 90.00 90.00 90.00
Space group Pmmm (No. 47)
Asymmetric unit:
Pr 0.000 0.000 0.000 (multiplicity 1)
Mg 0.000 0.500 0.500 (multiplicity 1)
Tl 0.500 0.000 0.500 (multiplicity 1)
Pb 0.500 0.500 0.000 (multiplicity 1)

Energy relative to the elements: -368 meV/atom
DOS(E_F): 1.8 states/eV/cell
ΔE to the lowest computed polymorph: 0.000 eV/atom

---

13.
A geometry-optimized MgPtPb2 structure, computed with PBE.

Lattice parameters (Å, degrees): 5.179 3.878 6.325 90.00 113.98 90.00
Space group P2/m (No. 10)
Asymmetric unit:
Mg 0.000 0.000 0.000 (multiplicity 1)
Pt 0.500 0.000 0.000 (multiplicity 1)
Pb 0.329 0.500 0.659 (multiplicity 2)

Energy relative to the elements: -165 meV/atom
DOS(E_F): 1.4 states/eV/cell

---

14.
A geometry-optimized Mg2PtPb2 structure, computed with PBE.

Lattice parameters (Å, degrees): 7.301 7.301 4.574 90.00 90.00 90.00
Space group P4/mbm (No. 127)
Asymmetric unit:
Mg 0.161 0.339 0.000 (multiplicity 4)
Pt 0.000 0.000 0.500 (multiplicity 2)
Pb 0.151 0.651 0.500 (multiplicity 4)

Energy relative to the elements: -6 meV/atom
DOS(E_F): 4.7 states/eV/cell
ΔE to the lowest computed polymorph: 0.116 eV/atom

---

15.
A geometry-optimized MgPtPb2 structure, computed with PBE.

Lattice parameters (Å, degrees): 3.8701 3.8701 24.0685 90.00 90.00 120.00
Space group R-3m (No. 166, hexagonal axes)
Asymmetric unit:
Mg 0.0000 0.0000 0.0000 (multiplicity 3)
Pt 0.0000 0.0000 0.5000 (multiplicity 3)
Pb 0.0000 0.0000 0.2370 (multiplicity 6)

Energy relative to the elements: -76 meV/atom
DOS(E_F): 5.5 states/eV/cell

---

16.
A geometry-optimized Mg2Pt4Pb structure, computed with PBE.

Lattice parameters (Å, degrees): 5.009 5.009 13.474 90.00 90.00 90.00
Space group I4/mmm (No. 139)
Asymmetric unit:
Mg 0.000 0.000 0.110 (multiplicity 4)
Pt 0.000 0.000 0.296 (multiplicity 4)
Pt 0.000 0.500 0.000 (multiplicity 4)
Pb 0.000 0.000 0.500 (multiplicity 2)

Energy relative to the elements: 504 meV/atom
DOS(E_F): 8.0 states/eV/cell

---

17.
A geometry-optimized Mg4PtPb structure, computed with PBE.

Lattice parameters (Å, degrees): 8.231 12.415 5.611 90.00 109.32 90.00
Space group C2/c (No. 15)
Asymmetric unit:
Mg 0.109 0.173 0.057 (multiplicity 8)
Mg 0.227 0.415 0.365 (multiplicity 8)
Pt 0.000 0.001 0.250 (multiplicity 4)
Pb 0.000 0.381 0.750 (multiplicity 4)

Energy relative to the elements: -380 meV/atom
DOS(E_F): 8.7 states/eV/cell
ΔE to the lowest computed polymorph: 0.000 eV/atom

---

18.
A geometry-optimized Mg8Pt2Pb3 structure, computed with PBE.

Lattice parameters (Å, degrees): 8.891 15.031 4.631 90.00 90.00 90.00
Space group Cmmm (No. 65)
Asymmetric unit:
Mg 0.000 0.140 0.000 (multiplicity 4)
Mg 0.000 0.332 0.000 (multiplicity 4)
Mg 0.233 0.350 0.500 (multiplicity 8)
Pt 0.000 0.237 0.500 (multiplicity 4)
Pb 0.000 0.000 0.500 (multiplicity 2)
Pb 0.202 0.500 0.000 (multiplicity 4)

Energy relative to the elements: -346 meV/atom
DOS(E_F): 9.7 states/eV/cell

---

19.
A geometry-optimized MgPtPb3 structure, computed with PBE.

Lattice parameters (Å, degrees): 5.441 5.441 5.441 90.00 90.00 90.00
Space group Pm-3m (No. 221)
Asymmetric unit:
Mg 0.000 0.000 0.000 (multiplicity 1)
Pt 0.500 0.500 0.500 (multiplicity 1)
Pb 0.000 0.500 0.500 (multiplicity 3)

Energy relative to the elements: 179 meV/atom
DOS(E_F): 2.1 states/eV/cell
ΔE to the lowest computed polymorph: 0.000 eV/atom

---

20.
A geometry-optimized MgPtPb2 structure, computed with PBE.

Lattice parameters (Å, degrees): 9.339 3.741 6.462 90.00 111.31 90.00
Space group Cm (No. 8)
Asymmetric unit:
Mg 0.000 0.000 0.000 (multiplicity 2)
Pt 0.208 0.500 0.994 (multiplicity 2)
Pb 0.185 0.000 0.656 (multiplicity 2)
Pb 0.375 0.000 0.330 (multiplicity 2)

Energy relative to the elements: -217 meV/atom
DOS(E_F): 3.7 states/eV/cell